# Te2W2Se

Crystalline Te2W2Se at its relaxed geometry (PBE, the Alexandria database).

Geometry as CIF:
```
data_Te2W2Se
_chemical_formula_sum 'Te4 W4 Se2'
_cell_length_a 5.3372
_cell_length_b 5.3372
_cell_length_c 8.3011
_cell_angle_alpha 90.00
_cell_angle_beta 90.00
_cell_angle_gamma 90.00
_symmetry_space_group_name_H-M 'I 4/m m m'
_symmetry_Int_Tables_number 139
_symmetry_space_group_name_Hall '-I 4 2'
loop_
_atom_site_label
_atom_site_type_symbol
_atom_site_fract_x
_atom_site_fract_y
_atom_site_fract_z
_atom_site_occupancy
Te1 Te 0.0000 0.5000 0.2500 1
W1 W 0.0000 0.0000 0.1392 1
Se1 Se 0.0000 0.0000 0.5000 1
```

Values from the calculation:
Final energy   -6.34 eV per atom
Formation energy (no corrections)   0.794 eV/atom

# TeW3Se

Crystalline TeW3Se at its relaxed geometry (PBE, the Alexandria database).

Geometry as CIF:
```
data_TeW3Se
_chemical_formula_sum 'Te1 W3 Se1'
_cell_length_a 4.9134
_cell_length_b 4.9134
_cell_length_c 4.9134
_cell_angle_alpha 90.00
_cell_angle_beta 90.00
_cell_angle_gamma 90.00
_symmetry_space_group_name_H-M 'P m -3 m'
_symmetry_Int_Tables_number 221
_symmetry_space_group_name_Hall '-P 4 2 3'
loop_
_atom_site_label
_atom_site_type_symbol
_atom_site_fract_x
_atom_site_fract_y
_atom_site_fract_z
_atom_site_occupancy
Te1 Te 0.0000 0.0000 0.0000 1
W1 W 0.0000 0.0000 0.5000 1
Se1 Se 0.5000 0.5000 0.5000 1
```

Values from the calculation:
Final energy   -6.47 eV per atom
E above lowest polymorph   933 meV/atom
Formation energy (no corrections)   2.624 eV/atom

# Te2WSe

Crystalline Te2WSe at its relaxed geometry (PBE, the Alexandria database).

Geometry as CIF:
```
data_Te2WSe
_chemical_formula_sum 'Te6 W3 Se3'
_cell_length_a 3.6785
_cell_length_b 3.6785
_cell_length_c 26.9174
_cell_angle_alpha 90.00
_cell_angle_beta 90.00
_cell_angle_gamma 120.00
_symmetry_space_group_name_H-M 'R -3 m'
_symmetry_Int_Tables_number 166
_symmetry_space_group_name_Hall '-R 3 2"'
loop_
_atom_site_label
_atom_site_type_symbol
_atom_site_fract_x
_atom_site_fract_y
_atom_site_fract_z
_atom_site_occupancy
Te1 Te 0.0000 0.0000 0.1014 1
W1 W 0.0000 0.0000 0.5000 1
Se1 Se 0.0000 0.0000 0.0000 1
```

Values from the calculation:
Final energy   -5.30 eV per atom
Formation energy (no corrections)   0.384 eV/atom

# TeW2Se3

Crystalline TeW2Se3 at its relaxed geometry (PBE, the Alexandria database).

Geometry as CIF:
```
data_TeW2Se3
_chemical_formula_sum 'Te2 W4 Se6'
_cell_length_a 3.3765
_cell_length_b 3.3765
_cell_length_c 28.8333
_cell_angle_alpha 90.00
_cell_angle_beta 90.00
_cell_angle_gamma 120.00
_symmetry_space_group_name_H-M 'P 3 m 1'
_symmetry_Int_Tables_number 156
loop_
_symmetry_equiv_pos_as_xyz
'x,y,z'
'-y,x-y,z'
'-x+y,-x,z'
'-y,-x,z'
'-x+y,y,z'
'x,x-y,z'
loop_
_atom_site_label
_atom_site_type_symbol
_atom_site_fract_x
_atom_site_fract_y
_atom_site_fract_z
_atom_site_occupancy
Te1 Te 0.0000 0.0000 0.0000 1
Te2 Te 0.0000 0.0000 0.1313 1
W1 W 0.0000 0.0000 0.3205 1
W2 W 0.0000 0.0000 0.8097 1
W3 W 0.3333 0.6667 0.0657 1
W4 W 0.3333 0.6667 0.5657 1
Se1 Se 0.0000 0.0000 0.5080 1
Se2 Se 0.0000 0.0000 0.6233 1
Se3 Se 0.3333 0.6667 0.2628 1
Se4 Se 0.3333 0.6667 0.3782 1
Se5 Se 0.3333 0.6667 0.7521 1
Se6 Se 0.3333 0.6667 0.8674 1
```

Values from the calculation:
Final energy   -7.00 eV per atom
E above lowest polymorph   1 meV/atom
Formation energy (no corrections)   -0.421 eV/atom

# TeW2Se

Crystalline TeW2Se at its relaxed geometry (PBE, the Alexandria database).

Geometry as CIF:
```
data_TeW2Se
_chemical_formula_sum 'Te2 W4 Se2'
_cell_length_a 8.8543
_cell_length_b 3.2494
_cell_length_c 5.4684
_cell_angle_alpha 90.00
_cell_angle_beta 104.94
_cell_angle_gamma 90.00
_symmetry_space_group_name_H-M 'C 1 m 1'
_symmetry_Int_Tables_number 8
loop_
_symmetry_equiv_pos_as_xyz
'x,y,z'
'x,-y,z'
'x+1/2,y+1/2,z'
'x+1/2,-y+1/2,z'
loop_
_atom_site_label
_atom_site_type_symbol
_atom_site_fract_x
_atom_site_fract_y
_atom_site_fract_z
_atom_site_occupancy
Te1 Te 0.0000 0.0000 0.0000 1
W1 W 0.0013 0.5000 0.4174 1
W2 W 0.2412 0.0000 0.7648 1
Se1 Se 0.2811 0.5000 0.4238 1
```

Values from the calculation:
Final energy   -7.68 eV per atom
E above lowest polymorph   358 meV/atom
Formation energy (no corrections)   0.457 eV/atom

# Te2WSe

Crystalline Te2WSe at its relaxed geometry (PBE, the Alexandria database).

Geometry as CIF:
```
data_Te2WSe
_chemical_formula_sum 'Te4 W2 Se2'
_cell_length_a 6.2810
_cell_length_b 8.0482
_cell_length_c 3.7003
_cell_angle_alpha 90.00
_cell_angle_beta 109.36
_cell_angle_gamma 90.00
_symmetry_space_group_name_H-M 'C 1 2/m 1'
_symmetry_Int_Tables_number 12
loop_
_symmetry_equiv_pos_as_xyz
'x,y,z'
'-x,-y,-z'
'-x,y,-z'
'x,-y,z'
'x+1/2,y+1/2,z'
'-x+1/2,-y+1/2,-z'
'-x+1/2,y+1/2,-z'
'x+1/2,-y+1/2,z'
loop_
_atom_site_label
_atom_site_type_symbol
_atom_site_fract_x
_atom_site_fract_y
_atom_site_fract_z
_atom_site_occupancy
Te1 Te 0.2500 0.2500 0.0000 1
W1 W 0.0000 0.0000 0.5000 1
Se1 Se 0.0000 0.5000 0.5000 1
```

Values from the calculation:
Final energy   -4.84 eV per atom
Formation energy (no corrections)   0.843 eV/atom

# TeW2Se

Crystalline TeW2Se at its relaxed geometry (PBE, the Alexandria database).

Geometry as CIF:
```
data_TeW2Se
_chemical_formula_sum 'Te2 W4 Se2'
_cell_length_a 8.4384
_cell_length_b 3.2312
_cell_length_c 5.6404
_cell_angle_alpha 90.00
_cell_angle_beta 103.42
_cell_angle_gamma 90.00
_symmetry_space_group_name_H-M 'C 1 2/m 1'
_symmetry_Int_Tables_number 12
loop_
_symmetry_equiv_pos_as_xyz
'x,y,z'
'-x,-y,-z'
'-x,y,-z'
'x,-y,z'
'x+1/2,y+1/2,z'
'-x+1/2,-y+1/2,-z'
'-x+1/2,y+1/2,-z'
'x+1/2,-y+1/2,z'
loop_
_atom_site_label
_atom_site_type_symbol
_atom_site_fract_x
_atom_site_fract_y
_atom_site_fract_z
_atom_site_occupancy
Te1 Te 0.0000 0.0000 0.0000 1
W1 W 0.2495 0.0000 0.6957 1
Se1 Se 0.0000 0.5000 0.5000 1
```

Values from the calculation:
Final energy   -7.51 eV per atom
E above lowest polymorph   523 meV/atom
Formation energy (no corrections)   0.622 eV/atom

# Te3WSe

Crystalline Te3WSe at its relaxed geometry (PBE, the Alexandria database).

Geometry as CIF:
```
data_Te3WSe
_chemical_formula_sum 'Te3 W1 Se1'
_cell_length_a 5.3574
_cell_length_b 5.3574
_cell_length_c 5.3574
_cell_angle_alpha 90.00
_cell_angle_beta 90.00
_cell_angle_gamma 90.00
_symmetry_space_group_name_H-M 'P m -3 m'
_symmetry_Int_Tables_number 221
_symmetry_space_group_name_Hall '-P 4 2 3'
loop_
_atom_site_label
_atom_site_type_symbol
_atom_site_fract_x
_atom_site_fract_y
_atom_site_fract_z
_atom_site_occupancy
Te1 Te 0.0000 0.0000 0.5000 1
W1 W 0.5000 0.5000 0.5000 1
Se1 Se 0.0000 0.0000 0.0000 1
```

Values from the calculation:
Final energy   -3.67 eV per atom
E above lowest polymorph   872 meV/atom
Formation energy (no corrections)   1.505 eV/atom

# TeW2Se

Crystalline TeW2Se at its relaxed geometry (PBE, the Alexandria database).

Geometry as CIF:
```
data_TeW2Se
_chemical_formula_sum 'Te3 W6 Se3'
_cell_length_a 3.1517
_cell_length_b 3.1517
_cell_length_c 24.8499
_cell_angle_alpha 90.00
_cell_angle_beta 90.00
_cell_angle_gamma 120.00
_symmetry_space_group_name_H-M 'R -3 m'
_symmetry_Int_Tables_number 166
_symmetry_space_group_name_Hall '-R 3 2"'
loop_
_atom_site_label
_atom_site_type_symbol
_atom_site_fract_x
_atom_site_fract_y
_atom_site_fract_z
_atom_site_occupancy
Te1 Te 0.0000 0.0000 0.0000 1
W1 W 0.0000 0.0000 0.2465 1
Se1 Se 0.0000 0.0000 0.5000 1
```

Values from the calculation:
Final energy   -7.48 eV per atom
E above lowest polymorph   549 meV/atom
Formation energy (no corrections)   0.649 eV/atom

# Te2WSe

Crystalline Te2WSe at its relaxed geometry (PBE, the Alexandria database).

Geometry as CIF:
```
data_Te2WSe
_chemical_formula_sum 'Te4 W2 Se2'
_cell_length_a 3.3840
_cell_length_b 5.2659
_cell_length_c 11.1766
_cell_angle_alpha 90.00
_cell_angle_beta 90.00
_cell_angle_gamma 90.00
_symmetry_space_group_name_H-M 'C m m 2'
_symmetry_Int_Tables_number 35
loop_
_symmetry_equiv_pos_as_xyz
'x,y,z'
'-x,-y,z'
'-x,y,z'
'x,-y,z'
'x+1/2,y+1/2,z'
'-x+1/2,-y+1/2,z'
'-x+1/2,y+1/2,z'
'x+1/2,-y+1/2,z'
loop_
_atom_site_label
_atom_site_type_symbol
_atom_site_fract_x
_atom_site_fract_y
_atom_site_fract_z
_atom_site_occupancy
Te1 Te 0.0000 0.0000 0.0000 1
Te2 Te 0.0000 0.5000 0.3024 1
W1 W 0.0000 0.0000 0.5081 1
Se1 Se 0.0000 0.5000 0.6740 1
```

Values from the calculation:
Final energy   -5.27 eV per atom
Formation energy (no corrections)   0.411 eV/atom

# TeW2Se

Crystalline TeW2Se at its relaxed geometry (PBE, the Alexandria database).

Geometry as CIF:
```
data_TeW2Se
_chemical_formula_sum 'Te1 W2 Se1'
_cell_length_a 3.1584
_cell_length_b 4.4211
_cell_length_c 5.3420
_cell_angle_alpha 90.00
_cell_angle_beta 90.00
_cell_angle_gamma 90.00
_symmetry_space_group_name_H-M 'P m m m'
_symmetry_Int_Tables_number 47
loop_
_symmetry_equiv_pos_as_xyz
'x,y,z'
'-x,-y,-z'
'-x,-y,z'
'x,y,-z'
'x,-y,-z'
'-x,y,z'
'-x,y,-z'
'x,-y,z'
loop_
_atom_site_label
_atom_site_type_symbol
_atom_site_fract_x
_atom_site_fract_y
_atom_site_fract_z
_atom_site_occupancy
Te1 Te 0.0000 0.0000 0.0000 1
W1 W 0.0000 0.5000 0.5000 1
W2 W 0.5000 0.5000 0.0000 1
Se1 Se 0.5000 0.0000 0.5000 1
```

Values from the calculation:
Final energy   -7.04 eV per atom
E above lowest polymorph   996 meV/atom
Formation energy (no corrections)   1.095 eV/atom

# Te3WSe

Crystalline Te3WSe at its relaxed geometry (PBE, the Alexandria database).

Geometry as CIF:
```
data_Te3WSe
_chemical_formula_sum 'Te3 W1 Se1'
_cell_length_a 5.2515
_cell_length_b 5.2515
_cell_length_c 5.2515
_cell_angle_alpha 90.00
_cell_angle_beta 90.00
_cell_angle_gamma 90.00
_symmetry_space_group_name_H-M 'P m -3 m'
_symmetry_Int_Tables_number 221
_symmetry_space_group_name_Hall '-P 4 2 3'
loop_
_atom_site_label
_atom_site_type_symbol
_atom_site_fract_x
_atom_site_fract_y
_atom_site_fract_z
_atom_site_occupancy
Te1 Te 0.0000 0.0000 0.5000 1
W1 W 0.0000 0.0000 0.0000 1
Se1 Se 0.5000 0.5000 0.5000 1
```

Values from the calculation:
Final energy   -4.54 eV per atom
E above lowest polymorph   0 meV/atom
Formation energy (no corrections)   0.633 eV/atom